Version P
The following is a GGA-PBE calculation of a relaxed K2ReNi crystal, from Alexandria via LeMat-Bulk.

a b c (Å): 7.819 7.819 7.819
angles (deg): 90.00 90.00 90.00
Space group Fm-3m (No. 225)
Unique sites:
K 0.250 0.250 0.250 x8
Re 0.000 0.000 0.000 x4
Ni 0.000 0.000 0.500 x4

=====

Version Q
The following is a GGA-PBE calculation of a relaxed K2ReNi crystal, from Alexandria via LeMat-Bulk.

a b c (Å): 2.725 2.725 11.058
angles (deg): 90.00 90.00 90.00
Space group P4/mmm (No. 123)
Unique sites:
K 0.000 0.000 0.238 x2
Re 0.500 0.500 0.500 x1
Ni 0.500 0.500 0.000 x1

=====

Result of the stability comparison: version Q is the most stable of them.

=====

Version P
The following is a GGA-PBE calculation of a relaxed Ge3AuF crystal, from Alexandria via LeMat-Bulk.

a b c (Å): 5.073 5.073 5.073
angles (deg): 90.00 90.00 90.00
Space group Pm-3m (No. 221)
Unique sites:
Ge 0.000 0.000 0.500 x3
Au 0.000 0.000 0.000 x1
F 0.500 0.500 0.500 x1

=====

Version Q
The following is a GGA-PBE calculation of a relaxed Ge3AuF crystal, from Alexandria via LeMat-Bulk.

a b c (Å): 4.559 4.559 4.559
angles (deg): 90.00 90.00 90.00
Space group Pm-3m (No. 221)
Unique sites:
Ge 0.000 0.000 0.500 x3
Au 0.500 0.500 0.500 x1
F 0.000 0.000 0.000 x1

=====

Result of the stability comparison: version Q is the most stable of them.

=====

Version P
The following is a GGA-PBE calculation of a relaxed InW2Br crystal, from Alexandria via LeMat-Bulk.

a b c (Å): 5.694 9.136 2.892
angles (deg): 90.00 90.00 90.00
Space group Cmmm (No. 65)
Unique sites:
In 0.000 0.000 0.000 x2
W 0.250 0.250 0.500 x4
Br 0.000 0.500 0.000 x2

=====

Version Q
The following is a GGA-PBE calculation of a relaxed InW2Br crystal, from Alexandria via LeMat-Bulk.

a b c (Å): 3.300 4.750 12.166
angles (deg): 90.00 90.00 90.00
Space group Imm2 (No. 44)
Unique sites:
In 0.000 0.000 0.000 x2
W 0.000 0.000 0.522 x2
W 0.000 0.500 0.876 x2
Br 0.000 0.500 0.230 x2

=====

Result of the stability comparison: version Q is the most stable of them.

=====

Version P
The following is a GGA-PBE calculation of a relaxed BC2 crystal, from Alexandria via LeMat-Bulk.

a b c (Å): 2.5912 2.5912 13.1512
angles (deg): 90.00 90.00 120.00
Space group P3m1 (No. 156)
Unique sites:
B 0.0000 0.0000 0.0000 x1
B 0.0000 0.0000 0.3865 x1
B 0.3333 0.6667 0.1722 x1
B 0.3333 0.6667 0.6727 x1
C 0.0000 0.0000 0.5120 x1
C 0.0000 0.0000 0.8763 x1
C 0.3333 0.6667 0.0532 x1
C 0.3333 0.6667 0.5459 x1
C 0.6667 0.3333 0.2277 x1
C 0.6667 0.3333 0.3361 x1
C 0.6667 0.3333 0.7203 x1
C 0.6667 0.3333 0.8370 x1

=====

Version Q
The following is a GGA-PBE calculation of a relaxed BC2 crystal, from Alexandria via LeMat-Bulk.

a b c (Å): 4.363 4.553 4.555
angles (deg): 61.55 72.81 77.37
Space group P-1 (No. 2)
Unique sites:
B 0.176 0.064 0.383 x2
B 0.281 0.666 0.739 x2
C 0.179 0.317 0.766 x2
C 0.186 0.672 0.122 x2
C 0.319 0.012 0.037 x2
C 0.326 0.353 0.390 x2

=====

Result of the stability comparison: version P is the most stable of them.

=====

Version P
The following is a GGA-PBE calculation of a relaxed TlNi2Pt crystal, from Alexandria via LeMat-Bulk.

a b c (Å): 6.234 6.234 6.234
angles (deg): 90.00 90.00 90.00
Space group F-43m (No. 216)
Unique sites:
Tl 0.000 0.000 0.000 x4
Ni 0.000 0.000 0.500 x4
Ni 0.250 0.250 0.750 x4
Pt 0.250 0.250 0.250 x4

=====

Version Q
The following is a GGA-PBE calculation of a relaxed TlNi2Pt crystal, from Alexandria via LeMat-Bulk.

a b c (Å): 3.907 3.922 7.811
angles (deg): 90.00 90.00 90.00
Space group Imm2 (No. 44)
Unique sites:
Tl 0.000 0.000 0.000 x2
Ni 0.000 0.000 0.499 x2
Ni 0.000 0.500 0.750 x2
Pt 0.000 0.500 0.249 x2

=====

Result of the stability comparison: version Q is the most stable of them.

=====

Version P
The following is a GGA-PBE calculation of a relaxed MgBPd3 crystal, from Alexandria via LeMat-Bulk.

a b c (Å): 4.349 5.778 5.778
angles (deg): 90.00 89.95 89.86
Space group P1 (No. 1)
Unique sites:
Mg 0.000 0.000 0.000 x1
Mg 0.000 0.499 0.500 x1
B 0.499 0.000 0.500 x1
B 0.499 0.500 0.000 x1
Pd 0.000 0.500 0.000 x1
Pd 0.499 0.196 0.803 x1
Pd 0.499 0.696 0.696 x1
Pd 0.500 0.303 0.303 x1
Pd 0.500 0.803 0.196 x1
Pd 0.999 0.999 0.500 x1

=====

Version Q
The following is a GGA-PBE calculation of a relaxed MgBPd3 crystal, from Alexandria via LeMat-Bulk.

a b c (Å): 8.251 8.051 5.660
angles (deg): 90.00 129.87 90.00
Space group Cm (No. 8)
Unique sites:
Mg 0.000 0.000 0.000 x2
Mg 0.043 0.500 0.001 x2
B 0.018 0.249 0.469 x4
Pd 0.093 0.500 0.524 x2
Pd 0.262 0.217 0.982 x4
Pd 0.280 0.192 0.501 x4
Pd 0.453 0.500 0.469 x2

=====

Result of the stability comparison: version Q is the most stable of them.

=====

Version P
The following is a GGA-PBE calculation of a relaxed Al2CdBr crystal, from Alexandria via LeMat-Bulk.

a b c (Å): 11.149 3.376 5.449
angles (deg): 90.00 118.66 90.00
Space group C2/m (No. 12)
Unique sites:
Al 0.250 0.000 0.249 x4
Cd 0.000 0.500 0.000 x2
Br 0.000 0.000 0.500 x2

=====

Version Q
The following is a GGA-PBE calculation of a relaxed Al2CdBr crystal, from Alexandria via LeMat-Bulk.

a b c (Å): 3.257 5.170 5.335
angles (deg): 90.00 90.00 90.00
Space group Pmmm (No. 47)
Unique sites:
Al 0.000 0.000 0.000 x1
Al 0.500 0.000 0.500 x1
Cd 0.000 0.500 0.500 x1
Br 0.500 0.500 0.000 x1

=====

Result of the stability comparison: version Q is the most stable of them.

=====

Version P
The following is a GGA-PBE calculation of a relaxed FeSCl2 crystal, from Alexandria via LeMat-Bulk.

a b c (Å): 2.8498 2.8498 34.8036
angles (deg): 90.00 90.00 120.00
Space group R-3m (No. 166, hexagonal axes)
Unique sites:
Fe 0.0000 0.0000 0.0000 x3
S 0.0000 0.0000 0.5000 x3
Cl 0.0000 0.0000 0.0595 x6

=====

Version Q
The following is a GGA-PBE calculation of a relaxed FeSCl2 crystal, from Alexandria via LeMat-Bulk.

a b c (Å): 6.597 6.597 6.597
angles (deg): 90.00 90.00 90.00
Space group Fm-3m (No. 225)
Unique sites:
Fe 0.000 0.000 0.000 x4
S 0.000 0.000 0.500 x4
Cl 0.250 0.250 0.250 x8

=====

Result of the stability comparison: version P is the most stable of them.